(1)
AuSCl2O | GGA-PBE | relaxed

* DOS(E_F): 7.659 states/eV/f.u.
* space group: P4/mmm

```
5
Lattice="-1.6954 -2.6803 -3.9366 4.1608 1.1994 -2.6086 2.1945 -3.8972 1.7084" Properties=species:S:1:pos:R:3 pbc="T T T"
S 1.0973 -1.9486 0.8542
Au 0.0000 0.0000 0.0000
O 2.3299 -2.6891 -2.4184
Cl 2.0804 0.5997 -1.3043
Cl -0.8477 -1.3402 -1.9683
```


(2)
AuSCl2O | GGA-PBE | relaxed

* DOS(E_F): 1.995 states/eV/f.u.
* space group: P4/mmm

```
5
Lattice="-0.8224 5.1761 2.5996 2.1069 -2.1785 5.0042 2.9864 0.9075 -0.8623" Properties=species:S:1:pos:R:3 pbc="T T T"
S 1.4932 0.4538 -0.4311
Au 2.1355 1.9526 3.3707
O 0.0000 0.0000 0.0000
Cl 1.0535 -1.0892 2.5021
Cl -0.4112 2.5881 1.2998
```


Of them, the most stable is (2) and the least stable is (1).


(1)
OsAuCl | GGA-PBE | relaxed

* DOS(E_F): 3.235 states/eV/f.u.
* space group: Fmm2

```
3
Lattice="-2.3590 -1.7624 -7.2252 0.5640 -1.1890 -7.3638 -1.1375 -2.7550 0.0878" Properties=species:S:1:pos:R:3 pbc="T T T"
Au -1.7847 -2.9483 -14.3571
Cl -1.5938 -2.8913 -10.0963
Os -1.3492 -2.8182 -4.6369
```


(2)
OsAuCl | GGA-PBE | relaxed

* DOS(E_F): 3.786 states/eV/f.u.
* space group: F-43m

```
3
Lattice="4.3893 0.0000 0.0000 2.1946 3.8012 0.0000 2.1946 1.2671 3.5838" Properties=species:S:1:pos:R:3 pbc="T T T"
Au 0.0000 0.0000 0.0000
Cl 4.3893 2.5342 1.7919
Os 6.5839 3.8012 2.6879
```


(3)
OsAuCl | GGA-PBE | relaxed

* DOS(E_F): 3.858 states/eV/f.u.
* space group: P-6m2

```
3
Lattice="-3.3991 -1.8023 2.3533 3.8611 -2.2787 -0.4899 1.0009 1.1893 2.3565" Properties=species:S:1:pos:R:3 pbc="T T T"
Au 1.0008 1.1892 2.3563
Cl 1.9415 -1.5252 1.6362
Os -0.4785 -1.3663 2.5841
```


(4)
OsAuCl | GGA-PBE | relaxed

* DOS(E_F): 3.404 states/eV/f.u.
* space group: I4mm

```
3
Lattice="-5.1437 4.5743 -0.5683 -6.8514 0.8563 0.1724 6.0944 -2.3524 2.2427" Properties=species:S:1:pos:R:3 pbc="T T T"
Au -0.3678 0.1665 -0.0121
Cl -3.5620 1.6126 -0.1176
Os -8.0654 3.6515 -0.2662
```


Of them, the most stable is (1) and the least stable is (2).


(1)
OsAuCl3 | GGA-PBE | relaxed

* DOS(E_F): 5.181 states/eV/f.u.
* space group: Pm-3m

```
5
Lattice="4.7919 0.0000 0.0000 0.0000 4.7919 0.0000 0.0000 0.0000 4.7919" Properties=species:S:1:pos:R:3 pbc="T T T"
Os 0.0000 0.0000 0.0000
Au 2.3960 2.3960 2.3960
Cl 0.0000 2.3960 0.0000
Cl 0.0000 0.0000 2.3960
Cl 2.3960 0.0000 0.0000
```


(2)
OsAuCl3 | GGA-PBE | relaxed

* DOS(E_F): 8.441 states/eV/f.u.
* space group: Pm-3m

```
5
Lattice="5.0760 0.0000 0.0000 0.0000 5.0760 0.0000 0.0000 0.0000 5.0760" Properties=species:S:1:pos:R:3 pbc="T T T"
Os 2.5380 2.5380 2.5380
Au 0.0000 0.0000 0.0000
Cl 0.0000 2.5380 0.0000
Cl 0.0000 0.0000 2.5380
Cl 2.5380 0.0000 0.0000
```


Of them, the most stable is (1) and the least stable is (2).


(1)
OsAuS2Cl | GGA-PBE | relaxed

* DOS(E_F): 4.960 states/eV/f.u.
* space group: P4/mmm

```
5
Lattice="-3.0362 -1.9325 3.2896 3.8150 -1.4959 2.6424 -0.0374 4.1459 2.4010" Properties=species:S:1:pos:R:3 pbc="T T T"
Os 0.3707 0.3588 4.1665
S 1.9075 -0.7479 1.3212
S -1.5181 -0.9662 1.6448
Au 0.0000 0.0000 0.0000
Cl -0.0187 2.0730 1.2005
```


(2)
OsAuS2Cl | GGA-PBE | relaxed

* DOS(E_F): 4.187 states/eV/f.u.
* space group: P4/mmm

```
5
Lattice="4.5335 0.0000 0.0000 0.0000 4.5335 0.0000 0.0000 0.0000 5.0557" Properties=species:S:1:pos:R:3 pbc="T T T"
Os 0.0000 0.0000 0.0000
S 0.0000 2.2668 0.0000
S 2.2668 0.0000 0.0000
Au 2.2668 2.2668 2.5279
Cl 0.0000 0.0000 2.5279
```


Of them, the most stable is (2) and the least stable is (1).